1.
# Sm5Tl2Rh (PBE, optimized geometry)
# **Calculated volume**: 30.35 A^3/atom
# **Formation energy from the elements**: -1.82 eV per formula unit
# **E above lowest polymorph**: 0.1992 eV/atom
# **Total energy**: -150.0 eV for the cell shown
data_Sm5Tl2Rh
_symmetry_space_group_name_H-M 'C m c m'
_symmetry_Int_Tables_number 63
_symmetry_space_group_name_Hall '-C 2c 2'
_cell_length_a 5.933
_cell_length_b 10.359
_cell_length_c 15.804
_cell_angle_alpha 90.00
_cell_angle_beta 90.00
_cell_angle_gamma 90.00
loop_
_atom_site_label
_atom_site_fract_x
_atom_site_fract_y
_atom_site_fract_z
_atom_site_occupancy
Sm1 0.000 0.079 0.118 1
Sm2 0.000 0.250 0.750 1
Sm3 0.000 0.421 0.119 1
Tl1 0.000 0.250 0.552 1
Rh1 0.000 0.249 0.250 1

2.
# Be6Pt (PBE, optimized geometry)
# **Calculated volume**: 12.29 A^3/atom
# **Formation energy from the elements**: 9.13 eV per formula unit
# **Total energy**: -38.5 eV for the cell shown
data_Be6Pt
_symmetry_space_group_name_H-M 'I m -3 m'
_symmetry_Int_Tables_number 229
_symmetry_space_group_name_Hall '-I 4 2 3'
_cell_length_a 5.563
_cell_length_b 5.563
_cell_length_c 5.563
_cell_angle_alpha 90.00
_cell_angle_beta 90.00
_cell_angle_gamma 90.00
loop_
_atom_site_label
_atom_site_fract_x
_atom_site_fract_y
_atom_site_fract_z
_atom_site_occupancy
Be1 0.000 0.250 0.500 1
Pt1 0.000 0.000 0.000 1